Compound: TmThHg6
Source: the Alexandria database
Functional: PBE
Structure: relaxed

```
TmThHg6
1.0
-3.7399 -1.1535 2.7979
2.8214 0.2799 3.8867
-1.9673 8.3791 0.8248
Hg Th Tm
6 1 1
direct
0.5000 0.5000 0.0000
0.5000 0.0000 0.7413
0.0000 0.5000 0.7413
0.5000 0.5000 0.5000
0.5000 0.0000 0.2587
0.0000 0.5000 0.2587
0.0000 0.0000 0.0000
0.0000 0.0000 0.5000
```

DFT total energy (Ha/atom): -0.0713
Energy above the most stable polymorph in this dataset (meV per atom): 32.8
Formation enthalpy at 0 K (eV/atom): -0.23